Version A
Computed, not measured: crystalline K3Hg2 at its relaxed geometry at the PBE level of DFT.

Computed properties:
The value obtained for the volume is 477 Å³ per cell.

Unit cell a=8.328 b=8.328 c=9.291 alpha=63.37 beta=63.37 gamma=60.00
Positions (direct):
K  0.750  0.357  0.750
K  0.357  0.143  0.750
K  0.143  0.750  0.750
Hg  0.187  0.187  0.438
Hg  0.813  0.813  0.562
K  0.857  0.250  0.250
K  0.643  0.857  0.250
Hg  0.687  0.687  0.938
K  0.250  0.643  0.250
Hg  0.313  0.313  0.062

---

Version B
Computed, not measured: crystalline K3Hg2 at its relaxed geometry at the PBE level of DFT.

Computed properties:
The value obtained for the volume is 217 Å³ per cell.

Unit cell a=5.397 b=7.004 c=7.004 alpha=67.38 beta=67.34 gamma=67.34
Positions (direct):
K  0.205  0.295  0.295
Hg  0.500  0.308  0.692
K  0.795  0.705  0.705
Hg  0.500  0.692  0.308
K  0.000  0.000  0.000

---

Result of the stability comparison: version A is the least stable of them.

---

Version A
Computed, not measured: crystalline KLaHg3 at its relaxed geometry at the PBE level of DFT.

Computed properties:
The value obtained for the volume is 230 Å³ per cell.

Unit cell a=6.131 b=6.131 c=6.131 alpha=90.00 beta=90.00 gamma=90.00
Positions (direct):
Hg  0.000  0.500  0.000
La  0.000  0.000  0.000
K  0.500  0.500  0.500
Hg  0.500  0.000  0.000
Hg  0.000  0.000  0.500

---

Version B
Computed, not measured: crystalline KLaHg3 at its relaxed geometry at the PBE level of DFT.

Computed properties:
The value obtained for the volume is 181 Å³ per cell.

Unit cell a=5.654 b=5.654 c=5.654 alpha=90.00 beta=90.00 gamma=90.00
Positions (direct):
K  0.000  0.000  0.000
Hg  0.000  0.500  0.000
La  0.500  0.500  0.500
Hg  0.000  0.000  0.500
Hg  0.500  0.000  0.000

---

Result of the stability comparison: version B is the least stable of them.

---

Version A
Computed, not measured: crystalline KLa2Hg2 at its relaxed geometry at the PBE level of DFT.

Computed properties:
The value obtained for the volume is 181 Å³ per cell.

Unit cell a=4.904 b=4.904 c=8.287 alpha=72.79 beta=72.79 gamma=90.00
Positions (direct):
K  0.000  0.000  0.000
La  0.250  0.750  0.500
Hg  0.599  0.599  0.802
La  0.750  0.250  0.500
Hg  0.401  0.401  0.198

---

Version B
Computed, not measured: crystalline KLa2Hg2 at its relaxed geometry at the PBE level of DFT.

Computed properties:
The value obtained for the volume is 327 Å³ per cell.

Unit cell a=9.552 b=9.552 c=3.583 alpha=90.00 beta=90.00 gamma=90.00
Positions (direct):
Hg  0.173  0.673  0.500
La  0.621  0.121  0.000
Hg  0.827  0.327  0.500
K  0.000  0.000  0.000
K  0.500  0.500  0.000
La  0.121  0.379  0.000
Hg  0.327  0.173  0.500
Hg  0.673  0.827  0.500
La  0.879  0.621  0.000
La  0.379  0.879  0.000

---

Result of the stability comparison: version A is the least stable of them.

---

Version A
Computed, not measured: crystalline KLaHg4 at its relaxed geometry at the PBE level of DFT.

Computed properties:
The value obtained for the volume is 170 Å³ per cell.

Unit cell a=3.584 b=5.213 c=9.079 alpha=90.00 beta=90.00 gamma=90.00
Positions (direct):
Hg  0.499  0.997  0.831
Hg  0.499  0.497  0.336
La  0.998  0.997  0.498
Hg  0.499  0.997  0.166
Hg  0.499  0.497  0.660
K  0.999  0.497  0.998

---

Version B
Computed, not measured: crystalline KLaHg4 at its relaxed geometry at the PBE level of DFT.

Computed properties:
The value obtained for the volume is 168 Å³ per cell.

Unit cell a=6.193 b=6.193 c=6.193 alpha=60.00 beta=60.00 gamma=60.00
Positions (direct):
Hg  0.375  0.375  0.876
La  0.000  0.000  0.000
Hg  0.375  0.375  0.375
Hg  0.375  0.876  0.375
K  0.750  0.750  0.750
Hg  0.876  0.375  0.375

---

Result of the stability comparison: version B is the least stable of them.

---

Version A
Computed, not measured: crystalline KLiHg3 at its relaxed geometry at the PBE level of DFT.

Computed properties:
The value obtained for the volume is 147 Å³ per cell.

Unit cell a=5.273 b=5.273 c=5.273 alpha=90.00 beta=90.00 gamma=90.00
Positions (direct):
Hg  0.500  0.000  0.000
Hg  0.000  0.000  0.500
Hg  0.000  0.500  0.000
K  0.500  0.500  0.500
Li  0.000  0.000  0.000

---

Version B
Computed, not measured: crystalline KLiHg3 at its relaxed geometry at the PBE level of DFT.

Computed properties:
The value obtained for the volume is 246 Å³ per cell.

Unit cell a=6.265 b=6.265 c=6.265 alpha=90.00 beta=90.00 gamma=90.00
Positions (direct):
Hg  0.500  0.000  0.000
Hg  0.000  0.500  0.000
K  0.000  0.000  0.000
Li  0.500  0.500  0.500
Hg  0.000  0.000  0.500

---

Result of the stability comparison: version B is the least stable of them.

---

Version A
Computed, not measured: crystalline K2LiHg2 at its relaxed geometry at the PBE level of DFT.

Computed properties:
The value obtained for the volume is 375 Å³ per cell.

Unit cell a=10.148 b=10.148 c=3.645 alpha=90.00 beta=90.00 gamma=90.00
Positions (direct):
K  0.817  0.683  0.000
Hg  0.392  0.108  0.500
Hg  0.108  0.608  0.500
Hg  0.892  0.392  0.500
K  0.183  0.317  0.000
Li  0.000  0.000  0.000
Li  0.500  0.500  0.000
Hg  0.608  0.892  0.500
K  0.683  0.183  0.000
K  0.317  0.817  0.000

---

Version B
Computed, not measured: crystalline K2LiHg2 at its relaxed geometry at the PBE level of DFT.

Computed properties:
The value obtained for the volume is 347 Å³ per cell.

Unit cell a=7.938 b=7.938 c=5.500 alpha=90.00 beta=90.00 gamma=90.00
Positions (direct):
Li  0.500  0.500  0.000
K  0.173  0.673  0.500
K  0.673  0.827  0.500
Hg  0.638  0.138  0.000
Hg  0.138  0.362  0.000
Hg  0.862  0.638  0.000
K  0.327  0.173  0.500
K  0.827  0.327  0.500
Li  0.000  0.000  0.000
Hg  0.362  0.862  0.000

---

Result of the stability comparison: version A is the least stable of them.

---

Version A
Computed, not measured: crystalline KLiHg2Pb at its relaxed geometry at the PBE level of DFT.

Computed properties:
The value obtained for the volume is 285 Å³ per cell.

Unit cell a=6.356 b=6.091 c=7.365 alpha=90.00 beta=90.00 gamma=90.00
Positions (direct):
K  0.713  0.750  0.500
Pb  0.411  0.250  0.000
Hg  0.195  0.750  0.283
Li  0.000  0.500  0.000
Hg  0.805  0.250  0.717
Pb  0.589  0.750  0.000
Hg  0.195  0.750  0.717
K  0.287  0.250  0.500
Hg  0.805  0.250  0.283
Li  0.000  0.000  0.000

---

Version B
Computed, not measured: crystalline KLiHg2Pb at its relaxed geometry at the PBE level of DFT.

Computed properties:
The value obtained for the volume is 194 Å³ per cell.

Unit cell a=6.026 b=6.026 c=5.356 alpha=90.00 beta=90.00 gamma=90.00
Positions (direct):
Pb  0.000  0.000  0.000
Hg  0.500  0.000  0.000
K  0.500  0.500  0.500
Hg  0.000  0.500  0.000
Li  0.000  0.000  0.500

---

Version C
Computed, not measured: crystalline KLiHg2Pb at its relaxed geometry at the PBE level of DFT.

Computed properties:
The value obtained for the volume is 147 Å³ per cell.

Unit cell a=5.299 b=5.299 c=5.223 alpha=90.00 beta=90.00 gamma=90.00
Positions (direct):
Li  0.000  0.000  0.000
Hg  0.000  0.500  0.000
K  0.500  0.500  0.500
Pb  0.000  0.000  0.500
Hg  0.500  0.000  0.000

---

Result of the stability comparison: version B is the least stable of them.

---

Version A
Computed, not measured: crystalline KRbLiHg2 at its relaxed geometry at the PBE level of DFT.

Computed properties:
The value obtained for the volume is 182 Å³ per cell.

Unit cell a=5.535 b=5.535 c=5.933 alpha=90.00 beta=90.00 gamma=90.00
Positions (direct):
Li  0.000  0.000  0.000
Rb  0.500  0.500  0.500
Hg  0.000  0.500  0.000
Hg  0.500  0.000  0.000
K  0.000  0.000  0.500

---

Version B
Computed, not measured: crystalline KRbLiHg2 at its relaxed geometry at the PBE level of DFT.

Computed properties:
The value obtained for the volume is 184 Å³ per cell.

Unit cell a=5.534 b=5.534 c=6.002 alpha=90.00 beta=90.00 gamma=90.00
Positions (direct):
Rb  0.000  0.000  0.500
Li  0.000  0.000  0.000
Hg  0.500  0.000  0.000
K  0.500  0.500  0.500
Hg  0.000  0.500  0.000

---

Result of the stability comparison: version B is the least stable of them.